{
  "formula": "Pr2PuSn3Rh4",
  "functional": "PBE-GGA",
  "state": "relaxed",
  "lattice": [[4.501, 0.000, 0.000], [0.000, 4.501, 0.000], [0.000, 0.000, 11.110]],
  "species": ["Pr", "Pr", "Pu", "Sn", "Sn", "Sn", "Rh", "Rh", "Rh", "Rh"],
  "fractional_positions": [[0.500, 0.000, 0.233], [0.000, 0.500, 0.767], [0.500, 0.500, 0.500], [0.000, 0.000, 0.500], [0.500, 0.000, 0.873], [0.000, 0.500, 0.127], [0.500, 0.500, 0.000], [0.000, 0.000, 0.000], [0.500, 0.000, 0.639], [0.000, 0.500, 0.361]],
  "total_energy_ev_per_cell": -72.1,
  "dos_ef_per_ev_atom": 1.025
}